Entry from Alexandria: a relaxed MnCoO2 crystal (GGA+U).

N(E_F) = 6.380 states/eV per cell
energy above the most stable polymorph in this dataset = 165 meV/atom

Unit cell a=3.1150 b=3.1150 c=17.3207 alpha=90.00 beta=90.00 gamma=120.00
Space group R-3m (No. 166, hexagonal axes)
Inequivalent atoms, fractional coordinates:
Mn (0.0000, 0.0000, 0.0000) [3 per cell]
Co (0.0000, 0.0000, 0.5000) [3 per cell]
O (0.0000, 0.0000, 0.3955) [6 per cell]